# 1
Compound: Rh2WCl
Source: the Alexandria database
Functional: PBE
Structure: relaxed

## Properties
Total magnetization (Bohr magnetons per cell): 0.00
Formation energy without anion corrections (eV per atom): 0.65
Relative energy among the computed polymorphs (eV per atom): 0.660

Unit cell a=5.5502 b=7.8531 c=2.8153 alpha=90.00 beta=90.00 gamma=90.00
Last column: nearest neighbours and their distance in Å.
Space group Cmmm (No. 65)
Inequivalent atoms, fractional coordinates:
Rh 0.2500 0.2500 0.0000 x4  4 Rh 2.78-2.82, 4 Cl 2.79, 4 W 2.79
W 0.0000 0.0000 0.5000 x2  2 Cl 2.78, 8 Rh 2.79, 2 W 2.82
Cl 0.0000 0.5000 0.5000 x2  2 W 2.78, 8 Rh 2.79, 2 Cl 2.82


# 2
Compound: Rh2WCl
Source: the Alexandria database
Functional: PBE
Structure: relaxed

## Properties
Total magnetization (Bohr magnetons per cell): 0.00
Formation energy without anion corrections (eV per atom): 0.65
Relative energy among the computed polymorphs (eV per atom): 0.661

Unit cell a=2.8308 b=4.6141 c=4.6180 alpha=90.00 beta=90.00 gamma=90.00
Last column: nearest neighbours and their distance in Å.
Space group Pmmm (No. 47)
Inequivalent atoms, fractional coordinates:
Rh 0.0000 0.0000 0.0000 x1  6 Rh 2.71-2.83, 4 Cl 2.71
Rh 0.5000 0.5000 0.0000 x1  6 Rh 2.71-2.83, 4 W 2.71
W 0.0000 0.5000 0.5000 x1  4 Cl 2.71, 4 Rh 2.71, 2 W 2.83
Cl 0.5000 0.0000 0.5000 x1  4 W 2.71, 4 Rh 2.71, 2 Cl 2.83


# 3
Compound: Rh2WCl
Source: the Alexandria database
Functional: PBE
Structure: relaxed

## Properties
Total magnetization (Bohr magnetons per cell): 0.00
Formation energy without anion corrections (eV per atom): 0.34
Relative energy among the computed polymorphs (eV per atom): 0.347

Unit cell a=2.8679 b=2.8679 c=7.3861 alpha=90.00 beta=90.00 gamma=90.00
Last column: nearest neighbours and their distance in Å.
Space group P4mm (No. 99)
Inequivalent atoms, fractional coordinates:
Rh 0.0000 0.0000 0.0000 x1  8 Rh 2.83-2.87, 4 Cl 2.86
Rh 0.5000 0.5000 0.2667 x1  4 W 2.65, 8 Rh 2.83-2.87
W 0.0000 0.0000 0.4976 x1  4 Cl 2.64, 4 Rh 2.65, 4 W 2.87
Cl 0.5000 0.5000 0.7261 x1  4 W 2.64, 4 Rh 2.86, 4 Cl 2.87